First-principles (GGA-PBE) data for an optimized crystal structure of Sr2Li2Au, as listed in Alexandria.

Properties
mass density	3.48	g/cm3
V	369	Å³/cell
formation enthalpy at 0 K	-40	meV per atom
excess energy over the best structure of this formula in the dataset	242	meV per atom

Cell lengths 8.388, 8.388, 5.238 Å; angles 90.00, 90.00, 90.00 degrees
Fractional coordinates of all 10 atoms:
Sr (0.326, 0.826, 0.000)
Sr (0.826, 0.674, 0.000)
Sr (0.674, 0.174, 0.000)
Sr (0.174, 0.326, 0.000)
Au (0.000, 0.000, 0.000)
Au (0.500, 0.500, 0.000)
Li (0.128, 0.628, 0.500)
Li (0.628, 0.872, 0.500)
Li (0.872, 0.372, 0.500)
Li (0.372, 0.128, 0.500)